No. 1
Compound: Ca4HgAuN
Source: Alexandria
Functional: PBE
Structure: relaxed

Properties
Formation energy from raw total energies ... -0.661 eV/atom
Uncorrected energy ... -3.506 eV/atom
N(E_F) ... 2.70 states/eV/f.u.
Total magnetic moment ... 0.00 μB/f.u.

Unit cell a=6.816 b=6.789 c=8.491 alpha=90.00 beta=113.66 gamma=90.00
Positions (direct):
Ca: 0.913 0.250 0.827
Ca: 0.408 0.750 0.815
Ca: 0.087 0.750 0.173
Ca: 0.592 0.250 0.185
Ca: 0.500 0.500 0.500
Ca: 0.000 0.000 0.500
Ca: 0.500 0.000 0.500
Ca: 0.000 0.500 0.500
Hg: 0.605 0.750 0.210
Hg: 0.395 0.250 0.790
Au: 0.113 0.250 0.227
Au: 0.887 0.750 0.773
N: 0.250 0.750 0.500
N: 0.750 0.250 0.500

No. 2
Compound: ZnInB
Source: Alexandria
Functional: PBE
Structure: relaxed

Properties
Energy of formation ... 0.659 eV per atom
Uncorrected energy ... -2.905 eV/atom
N(E_F) ... 1.14 states/eV/f.u.
Total magnetic moment ... 0.00 μB/f.u.

Unit cell a=3.847 b=3.847 c=8.665 alpha=90.00 beta=90.00 gamma=120.00
Positions (direct):
Zn: 0.333 0.667 0.250
Zn: 0.667 0.333 0.750
B: 0.000 0.000 0.250
B: 0.000 0.000 0.750
In: 0.000 0.000 0.000
In: 0.000 0.000 0.500

No. 3
Compound: Pr8AsP3Cl4
Source: Alexandria
Functional: PBE
Structure: relaxed

Properties
Formation energy from raw total energies ... -1.597 eV/atom
Uncorrected energy ... -5.753 eV/atom
N(E_F) ... 4.89 states/eV/f.u.
Total magnetic moment ... 0.00 μB/f.u.

Unit cell a=8.412 b=8.500 c=8.412 alpha=119.66 beta=120.00 gamma=90.00
Positions (direct):
Pr: 0.245 0.718 0.973
Pr: 0.245 0.718 0.489
Pr: 0.262 0.285 0.523
Pr: 0.728 0.718 0.973
Pr: 0.272 0.282 0.027
Pr: 0.738 0.715 0.477
Pr: 0.755 0.282 0.511
Pr: 0.755 0.282 0.027
As: 0.000 0.500 0.000
P: 0.500 0.500 0.000
P: 0.500 0.500 0.500
P: 0.000 0.500 0.500
Cl: 0.500 0.000 0.000
Cl: 0.500 0.000 0.500
Cl: 0.000 0.000 0.000
Cl: 0.000 0.000 0.500

No. 4
Compound: Ba2ZnAu
Source: Alexandria
Functional: PBE
Structure: relaxed

Properties
Energy of formation ... -0.342 eV per atom
Uncorrected energy ... -2.441 eV/atom
N(E_F) ... 2.25 states/eV/f.u.
Total magnetic moment ... 0.00 μB/f.u.

Unit cell a=4.814 b=4.817 c=6.841 alpha=90.00 beta=90.00 gamma=90.00
Positions (direct):
Au: 0.500 0.500 0.875
Ba: 0.000 0.000 0.875
Ba: 0.500 0.500 0.375
Zn: 0.000 0.000 0.375

No. 5
Compound: K3ErCl6
Source: Alexandria
Functional: PBE
Structure: relaxed

Properties
Formation energy from raw total energies ... -2.137 eV/atom
Uncorrected energy ... -4.031 eV/atom
N(E_F) ... 0.00 states/eV/f.u.
Total magnetic moment ... 0.00 μB/f.u.

Unit cell a=7.514 b=7.940 c=10.767 alpha=90.00 beta=89.17 gamma=90.00
Positions (direct):
K: 0.529 0.929 0.757
K: 0.500 0.500 0.000
K: 0.471 0.071 0.243
K: 0.029 0.571 0.257
K: 0.000 0.000 0.500
K: 0.971 0.429 0.743
Er: 0.500 0.500 0.500
Er: 0.000 0.000 0.000
Cl: 0.721 0.181 0.943
Cl: 0.668 0.228 0.577
Cl: 0.628 0.445 0.275
Cl: 0.372 0.555 0.725
Cl: 0.332 0.772 0.423
Cl: 0.279 0.819 0.057
Cl: 0.221 0.319 0.443
Cl: 0.168 0.272 0.077
Cl: 0.128 0.055 0.775
Cl: 0.872 0.945 0.225
Cl: 0.832 0.728 0.923
Cl: 0.779 0.681 0.557

No. 6
Compound: SrSn2Pb2
Source: Alexandria
Functional: PBE
Structure: relaxed

Properties
Energy of formation ... -0.222 eV per atom
Uncorrected energy ... -3.642 eV/atom
E above lowest polymorph ... 8 kJ/mol of formula units
N(E_F) ... 1.55 states/eV/f.u.
Total magnetic moment ... 0.00 μB/f.u.

Unit cell a=8.646 b=8.646 c=4.367 alpha=90.00 beta=90.00 gamma=90.00
Positions (direct):
Pb: 0.157 0.657 0.500
Pb: 0.657 0.843 0.500
Pb: 0.843 0.343 0.500
Pb: 0.343 0.157 0.500
Sr: 0.000 0.000 0.000
Sr: 0.500 0.500 0.000
Sn: 0.377 0.877 0.000
Sn: 0.877 0.623 0.000
Sn: 0.623 0.123 0.000
Sn: 0.123 0.377 0.000